1.
This record from the Open Quantum Materials Database describes a geometry-optimized NbCuBiAu structure. The functional is GGA-PBE.

```
NbCuBiAu
1.0
0.000 3.383 3.383
3.383 0.000 3.383
3.383 3.383 0.000
Nb Cu Bi Au
1 1 1 1
Cartesian
0.000 0.000 0.000 Nb
3.383 3.383 3.383 Cu
1.692 1.692 1.692 Bi
5.075 5.075 5.075 Au
```

Calculated values
SG ... F-43m
ΔE to the lowest computed polymorph ... 0 meV per atom

2.
This record from the Open Quantum Materials Database describes a geometry-optimized SmYAgSe3 structure. The functional is GGA-PBE.

```
SmYAgSe3
1.0
7.809 0.000 0.000
0.000 4.057 0.000
-2.611 0.000 9.237
Sm Y Ag Se
2 2 2 6
Cartesian
1.137 1.014 2.723 Sm
4.061 3.042 6.514 Sm
0.233 3.042 7.617 Y
4.965 1.014 1.620 Y
-0.658 1.014 5.306 Ag
5.856 3.042 3.931 Ag
-1.820 1.014 7.731 Se
1.318 3.042 4.972 Se
2.889 3.042 1.282 Se
2.309 1.014 7.955 Se
3.880 1.014 4.265 Se
7.018 3.042 1.506 Se
```

Calculated values
SG ... P2_1/m
Raw total energy ... -5.50 eV/atom

3.
This record from the Open Quantum Materials Database describes a geometry-optimized Cu2Ag structure. The functional is GGA-PBE.

```
Cu2Ag
1.0
5.709 -1.918 0.000
5.709 1.918 0.000
-1.865 0.000 5.721
Cu Ag
6 3
Cartesian
0.000 0.000 0.000 Cu
-0.080 0.000 3.710 Cu
1.743 0.000 1.809 Cu
5.659 0.000 1.780 Cu
7.472 0.000 0.030 Cu
9.496 0.000 1.825 Cu
3.682 0.000 0.011 Ag
3.829 0.000 3.718 Ag
7.483 0.000 3.692 Ag
```

Calculated values
SG ... Cm
ΔE to the lowest computed polymorph ... 39 meV per atom
Formation enthalpy at 0 K ... 0.08 eV/atom

What are the calculated volume values for these records? In order: 19.4; 24.4; 13.9 A^3/atom.